This record from the Alexandria database describes an optimized crystal structure of PmCuH3. The functional is PBE-GGA.

Output
D(E_F) = 1.007 states/eV per cell
SG = Cmcm
Mass density = 6.73 Mg/m³
Spin magnetization = 0.0 Bohr magnetons per cell
Excess energy over the best structure of this formula in the dataset = 0.000 eV per atom

a = 3.916 Å, b = 4.627 Å, c = 6.084 Å
α = 90.00°, β = 71.26°, γ = 90.00°
Fractional coordinates of all 10 atoms:
Pm  0.138  0.250  0.724
Pm  0.862  0.750  0.276
Cu  0.425  0.250  0.148
Cu  0.575  0.750  0.852
H  0.316  0.999  0.367
H  0.684  0.001  0.633
H  0.684  0.499  0.633
H  0.316  0.501  0.367
H  0.932  0.250  0.138
H  0.068  0.750  0.862